{"formula": "CoAu", "functional": "PBE", "state": "relaxed", "cell": [[-2.5278, -0.5514, -0.9721], [-3.6514, -2.0652, 6.7378], [-0.7364, 2.6486, 0.4127]], "species": ["Au", "Au", "Co", "Co"], "frac_coords": [[0.5812, 0.8375, 0.2500], [0.4188, 0.1625, 0.7500], [0.7937, 0.4127, 0.2500], [0.2063, 0.5873, 0.7500]], "e_tot_ev_per_cell": -20.14, "rho_g_cm3": 14.15, "sg": "Cmcm, No. 63", "ef_ev_per_atom": 0.16, "dos_at_fermi_per_ev_cell": 3.616}

***

{"formula": "CoAu3", "functional": "PBE", "state": "relaxed", "cell": [[-0.1642, 1.1930, -4.3833], [-1.4060, -2.9931, -3.1190], [-4.0162, 0.5720, -2.0509]], "species": ["Au", "Au", "Au", "Co"], "frac_coords": [[0.0000, 0.0000, 0.0000], [0.5000, 0.5000, 0.5000], [0.7500, 0.7500, 0.7500], [0.2500, 0.2500, 0.2500]], "e_tot_ev_per_cell": -15.93, "rho_g_cm3": 16.25, "sg": "Fm-3m, No. 225", "ef_ev_per_atom": 0.25, "dos_at_fermi_per_ev_cell": 6.844}